Here is an optimized crystal structure of Li4Nd3In2 from the Alexandria database. Energies are from PBE-GGA.

Computed properties:
DFT formation energy, meV per atom: -222

a = 5.0464 Å, b = 5.0464 Å, c = 9.4621 Å
α = 90.00°, β = 90.00°, γ = 120.00°
Space group P-3m1 (No. 164)
Unique sites:
Li: 0.0000 0.0000 0.1713
Li: 0.3333 0.6667 0.4096
Nd: 0.0000 0.0000 0.5000
Nd: 0.3333 0.6667 0.0976
In: 0.3333 0.6667 0.7158

***

Here is an optimized crystal structure of Tb2Nd12Dy5 from the Alexandria database. Energies are from PBE-GGA.

Computed properties:
ΔE to the lowest computed polymorph, eV/atom: 0.030
DFT formation energy, meV per atom: 128

a = 15.457 Å, b = 10.545 Å, c = 8.062 Å
α = 90.00°, β = 92.95°, γ = 90.00°
Space group C2/m (No. 12)
Unique sites:
Tb: 0.000 0.238 0.000
Nd: 0.053 0.000 0.712
Nd: 0.106 0.226 0.387
Nd: 0.137 0.500 0.111
Nd: 0.187 0.273 0.793
Dy: 0.000 0.500 0.500
Dy: 0.155 0.000 0.091
Dy: 0.243 0.500 0.486

***

Here is an optimized crystal structure of ZnBiPb2 from the Alexandria database. Energies are from PBE-GGA.

Computed properties:
ΔE to the lowest computed polymorph, eV/atom: 0.003
DFT formation energy, meV per atom: 126

a = 3.754 Å, b = 3.754 Å, c = 7.998 Å
α = 90.00°, β = 90.00°, γ = 90.00°
Space group P4/mmm (No. 123)
Unique sites:
Zn: 0.000 0.000 0.000
Bi: 0.000 0.000 0.500
Pb: 0.500 0.500 0.221

***

Here is an optimized crystal structure of DyY3Cu4 from the Alexandria database. Energies are from PBE-GGA.

Computed properties:
DFT formation energy, meV per atom: -245

a = 3.467 Å, b = 4.929 Å, c = 9.859 Å
α = 90.00°, β = 90.00°, γ = 90.00°
Space group Pmmm (No. 47)
Unique sites:
Dy: 0.000 0.000 0.000
Y: 0.000 0.000 0.500
Y: 0.000 0.500 0.250
Cu: 0.500 0.000 0.249
Cu: 0.500 0.500 0.000
Cu: 0.500 0.500 0.500